Entry 1:
The following is a GGA-PBE calculation of crystalline BiH2F6 at its relaxed geometry, from the Alexandria database.

The structure in POSCAR format:
```
BiH2F6
1.0
5.4616 -3.6971 0.0000
5.4616 3.6971 0.0000
-2.1718 0.0000 5.2391
Bi H F
2 4 12
direct
0.1736 0.8264 0.7500 Bi
0.8264 0.1736 0.2500 Bi
0.3163 0.4404 0.0048 H
0.4404 0.3163 0.5048 H
0.5596 0.6837 0.4952 H
0.6837 0.5596 0.9952 H
0.0687 0.1564 0.6415 F
0.1564 0.0687 0.1415 F
0.1868 0.5893 0.9927 F
0.2545 0.4799 0.5234 F
0.4107 0.8132 0.5073 F
0.4799 0.2545 0.0234 F
0.5201 0.7455 0.9766 F
0.5893 0.1868 0.4927 F
0.7455 0.5201 0.4766 F
0.8132 0.4107 0.0073 F
0.8436 0.9313 0.8585 F
0.9313 0.8436 0.3585 F
```

Summary:
- calculated volume (Å³ per cell) = 212
- E_tot (eV/atom) = -4.22

---

Entry 2:
The following is a GGA-PBE calculation of crystalline ScFe at its relaxed geometry, from the Alexandria database.

The structure in POSCAR format:
```
ScFe
1.0
-3.7286 3.7286 3.7286
3.7286 -3.7286 3.7286
3.7286 3.7286 -3.7286
Sc Fe
4 4
direct
0.0000 0.0000 0.5607 Sc
0.0000 0.5607 0.0000 Sc
0.4393 0.4393 0.4393 Sc
0.5607 0.0000 0.0000 Sc
0.0000 0.0000 0.2204 Fe
0.0000 0.2204 0.0000 Fe
0.2204 0.0000 0.0000 Fe
0.7796 0.7796 0.7796 Fe
```

Summary:
- calculated volume (Å³ per cell) = 207
- energy of formation (eV per atom) = 0.89

---

Entry 3:
The following is a GGA-PBE calculation of crystalline PuCrN at its relaxed geometry, from the Alexandria database.

The structure in POSCAR format:
```
PuCrN
1.0
10.7020 0.0000 0.0000
0.0000 1.5414 2.6101
0.0000 -1.5414 2.6101
Pu Cr N
2 2 2
direct
0.1502 0.0000 0.0000 Pu
0.8498 0.0000 0.0000 Pu
0.3859 0.5564 0.5564 Cr
0.6141 0.5564 0.5564 Cr
0.0000 0.6666 0.6666 N
0.5000 0.8873 0.8873 N
```

Summary:
- calculated volume (Å³ per cell) = 86
- energy above the lowest structure with this stoichiometry (meV per atom) = 0

---

Entry 4:
The following is a GGA-PBE calculation of crystalline NbBiRh at its relaxed geometry, from the Alexandria database.

The structure in POSCAR format:
```
NbBiRh
1.0
5.7161 0.0000 0.0000
0.0000 3.7157 0.0000
-1.4265 0.0000 5.8476
Nb Bi Rh
2 2 2
direct
0.0000 0.0000 0.0000 Nb
0.4931 0.0000 0.9951 Nb
0.1639 0.5000 0.6646 Bi
0.6337 0.0000 0.5347 Bi
0.3036 0.5000 0.2392 Rh
0.8078 0.5000 0.2299 Rh
```

Summary:
- calculated volume (Å³ per cell) = 124
- energy of formation (eV per atom) = -0.08

---

Entry 5:
The following is a GGA-PBE calculation of crystalline La6Tc2CBr3 at its relaxed geometry, from the Alexandria database.

The structure in POSCAR format:
```
La6Tc2CBr3
1.0
3.5834 -6.0333 0.0000
3.5834 6.0333 0.0000
-2.3013 0.0000 7.8418
La Tc C Br
6 2 1 3
direct
0.0756 0.3886 0.6799 La
0.2282 0.2282 0.2917 La
0.3886 0.0756 0.6799 La
0.6114 0.9244 0.3201 La
0.7718 0.7718 0.7083 La
0.9244 0.6114 0.3201 La
0.3721 0.6279 0.5000 Tc
0.6279 0.3721 0.5000 Tc
0.0000 0.0000 0.5000 C
0.1771 0.8229 0.0000 Br
0.5000 0.5000 0.0000 Br
0.8229 0.1771 0.0000 Br
```

Summary:
- calculated volume (Å³ per cell) = 339
- E_tot (eV/atom) = -6.12

---

Entry 6:
The following is a GGA-PBE calculation of crystalline HfMnGe2 at its relaxed geometry, from the Alexandria database.

The structure in POSCAR format:
```
HfMnGe2
1.0
2.8991 -5.1209 0.0000
2.8991 5.1209 0.0000
-2.6301 0.0000 4.5318
Hf Mn Ge
2 2 4
direct
0.1219 0.8781 0.7500 Hf
0.8781 0.1219 0.2500 Hf
0.4786 0.5214 0.7500 Mn
0.5214 0.4786 0.2500 Mn
0.1103 0.3956 0.8949 Ge
0.3956 0.1103 0.3949 Ge
0.6044 0.8897 0.6051 Ge
0.8897 0.6044 0.1051 Ge
```

Summary:
- calculated volume (Å³ per cell) = 135
- energy of formation (eV per atom) = -0.25

---

Entry 7:
The following is a GGA-PBE calculation of crystalline MgZnSe2 at its relaxed geometry, from the Alexandria database.

The structure in POSCAR format:
```
MgZnSe2
1.0
2.1080 1.2171 7.1957
-2.1080 1.2171 7.1957
0.0000 -2.4341 7.1957
Mg Zn Se
1 1 2
direct
0.0000 0.0000 0.0000 Mg
0.5000 0.5000 0.5000 Zn
0.3948 0.3948 0.3948 Se
0.6052 0.6052 0.6052 Se
```

Summary:
- calculated volume (Å³ per cell) = 111
- E_tot (eV/atom) = -3.17

---

Entry 8:
The following is a GGA-PBE calculation of crystalline BeIrF at its relaxed geometry, from the Alexandria database.

The structure in POSCAR format:
```
BeIrF
1.0
2.6012 0.0000 0.0000
0.0000 4.4558 0.0000
-0.0317 0.0000 7.6586
Be Ir F
2 2 2
direct
0.2418 0.0000 0.2508 Be
0.7582 0.5000 0.7492 Be
0.2498 0.8607 0.9683 Ir
0.7502 0.3607 0.0317 Ir
0.2567 0.4723 0.6336 F
0.7433 0.9723 0.3664 F
```

Summary:
- calculated volume (Å³ per cell) = 89
- energy above the lowest structure with this stoichiometry (meV per atom) = 25

---

Entry 9:
The following is a GGA-PBE calculation of crystalline Na3Tl6Hg at its relaxed geometry, from the Alexandria database.

The structure in POSCAR format:
```
Na3Tl6Hg
1.0
12.5627 0.0000 0.0000
0.0000 3.4555 0.0000
-5.7200 0.0000 13.5200
Na Tl Hg
6 12 2
direct
0.0309 0.2500 0.4028 Na
0.1320 0.2500 0.9957 Na
0.2743 0.7500 0.3830 Na
0.7257 0.2500 0.6170 Na
0.8680 0.7500 0.0043 Na
0.9691 0.7500 0.5972 Na
0.0663 0.2500 0.1937 Tl
0.1763 0.2500 0.7858 Tl
0.2242 0.7500 0.5912 Tl
0.3461 0.2500 0.2142 Tl
0.3760 0.7500 0.0063 Tl
0.4550 0.2500 0.5900 Tl
0.5450 0.7500 0.4100 Tl
0.6240 0.2500 0.9937 Tl
0.6539 0.7500 0.7858 Tl
0.7758 0.2500 0.4088 Tl
0.8237 0.7500 0.2142 Tl
0.9337 0.7500 0.8063 Tl
0.4169 0.7500 0.8033 Hg
0.5831 0.2500 0.1967 Hg
```

Summary:
- calculated volume (Å³ per cell) = 587
- energy above the lowest structure with this stoichiometry (meV per atom) = 34
- energy of formation (eV per atom) = -0.05

---

Entry 10:
The following is a GGA-PBE calculation of crystalline BaZn2Tc2 at its relaxed geometry, from the Alexandria database.

The structure in POSCAR format:
```
BaZn2Tc2
1.0
-2.4068 2.4068 4.6502
2.4068 -2.4068 4.6502
2.4068 2.4068 -4.6502
Ba Zn Tc
1 2 2
direct
0.0000 0.0000 0.0000 Ba
0.2500 0.7500 0.5000 Zn
0.7500 0.2500 0.5000 Zn
0.3814 0.3814 0.0000 Tc
0.6186 0.6186 0.0000 Tc
```

Summary:
- calculated volume (Å³ per cell) = 108
- energy of formation (eV per atom) = 0.36

---

Entry 11:
The following is a GGA-PBE calculation of crystalline Sr2CoTe at its relaxed geometry, from the Alexandria database.

The structure in POSCAR format:
```
Sr2CoTe
1.0
-2.2782 2.2782 6.0521
2.2782 -2.2782 6.0521
2.2782 2.2782 -6.0521
Sr Co Te
2 1 1
direct
0.0000 0.0000 0.0000 Sr
0.7500 0.2500 0.5000 Sr
0.5000 0.5000 0.0000 Co
0.2500 0.7500 0.5000 Te
```

Summary:
- calculated volume (Å³ per cell) = 126
- E_tot (eV/atom) = -3.59

---

Entry 12:
The following is a GGA-PBE calculation of crystalline LaCd2Ag at its relaxed geometry, from the Alexandria database.

The structure in POSCAR format:
```
LaCd2Ag
1.0
1.7760 1.0254 9.5798
-1.7760 1.0254 9.5798
0.0000 -2.0508 9.5798
La Cd Ag
1 2 1
direct
0.0000 0.0000 0.0000 La
0.2372 0.2372 0.2372 Cd
0.4927 0.4927 0.4927 Cd
0.7546 0.7546 0.7546 Ag
```

Summary:
- calculated volume (Å³ per cell) = 105
- energy of formation (eV per atom) = 0.01